A plane-wave DFT calculation with PBEsol was carried out for a geometry-optimized CsIn2As2 structure.

Properties
E, eV/atom: -3.689

a b c (Å): 5.0574 5.0574 10.7398
angles (deg): 90.00 90.00 90.00
Last column: nearest neighbours and their distance in Å.
Space group I4/mmm (No. 139)
Asymmetric unit:
Cs: 0.0000 0.0000 0.0000  8 As 3.69, 10 In 3.86-3.92
In: 0.0000 0.0000 0.3654  4 As 2.82, 1 In 2.89
As: 0.0000 0.5000 0.2500  4 In 2.82



A plane-wave DFT calculation with PBEsol was carried out for a geometry-optimized RbBa2Au2 structure.

Properties
E, eV/atom: -3.060

a b c (Å): 8.9566 8.9566 4.4342
angles (deg): 90.00 90.00 90.00
Last column: nearest neighbours and their distance in Å.
Space group P4/mbm (No. 127)
Asymmetric unit:
Rb: 0.0000 0.0000 0.0000  4 Au 3.55
Ba: 0.1581 0.3419 0.5000  6 Au 3.37-3.55
Au: 0.1234 0.6234 0.0000  1 Au 3.13, 4 Ba 3.37



A plane-wave DFT calculation with PBEsol was carried out for a geometry-optimized Li3Cu2F8 structure.

Properties
Uncorrected formation energy, eV/atom: -2.13

a b c (Å): 5.3668 5.8318 5.8672
angles (deg): 64.06 84.51 65.48
Last column: nearest neighbours and their distance in Å.
Space group P1 (No. 1)
Asymmetric unit:
Li: 0.0000 0.0000 0.0000  4 F 1.82-1.93
Li: 0.0481 0.4653 0.5214  4 F 1.83-1.91
Li: 0.6849 0.7147 0.1110  4 F 1.82-1.96
Cu: 0.3595 0.3455 0.0595  6 F 1.86-2.02
Cu: 0.3788 0.8499 0.5636  6 F 1.86-2.08
F: 0.0803 0.6060 0.1633  3 Li 1.91-1.96, 1 Cu 1.92
F: 0.1213 0.0925 0.6854  2 Li 1.82-1.83, 1 Cu 1.87
F: 0.1715 0.0820 0.1981  1 Li 1.87, 2 Cu 2.02-2.08
F: 0.1862 0.5881 0.7039  1 Li 1.86, 2 Cu 1.98-2.03
F: 0.5322 0.1283 0.4061  2 Cu 1.93-1.95
F: 0.5589 0.5950 0.9268  1 Li 1.82, 2 Cu 2.00-2.03
F: 0.6287 0.0879 0.9611  2 Li 1.85, 1 Cu 1.86
F: 0.6578 0.6109 0.4533  2 Li 1.84-1.91, 1 Cu 1.86